Entry from Alexandria via LeMat-Bulk: a relaxed structure of La4Zn2In (PBE).

Structure (CIF):
```
data_La4Zn2In
_chemical_formula_sum 'La12 Zn6 In3'
_symmetry_space_group_name_H-M 'R -3 m'
_symmetry_Int_Tables_number 166
_symmetry_space_group_name_Hall '-R 3 2"'
_cell_length_a 5.3133
_cell_length_b 5.3133
_cell_length_c 27.3135
_cell_angle_alpha 90.00
_cell_angle_beta 90.00
_cell_angle_gamma 120.00
loop_
_atom_site_label
_atom_site_type_symbol
_atom_site_fract_x
_atom_site_fract_y
_atom_site_fract_z
La1 La 0.0000 0.0000 0.1187
La2 La 0.0000 0.0000 0.2910
Zn1 Zn 0.0000 0.0000 0.4019
In1 In 0.0000 0.0000 0.5000
```

Summary:
- ΔH_f (0 K) (meV per atom) = -158
- energy (eV per cell) = -78.31
- M_tot (μB/f.u.) = 0.00